Entry 1:
Density functional theory data (PBE) for Hf2ZrCuH after structural relaxation.

## Properties
DOS at the Fermi energy, states/eV/cell: 7.24
M_tot, μB per atom: 0.000
Crystal system: tetragonal
Energy relative to the lowest polymorph listed for this composition, meV/atom: 629.9

abc: 5.382 3.156 5.382
angles: 90.00 90.00 90.00
Positions (direct):
Zr: 0.500 0.500 0.500
Hf: 0.000 0.000 0.500
Hf: 0.500 0.000 0.000
Cu: 0.000 0.000 0.000
H: 0.000 0.500 0.000



Entry 2:
Density functional theory data (PBE) for Cu2HgH2 after structural relaxation.

## Properties
DOS at the Fermi energy, states/eV/cell: 0.79
M_tot, μB per atom: 0.000
Crystal system: tetragonal
Energy relative to the lowest polymorph listed for this composition, meV/atom: 79.1

abc: 3.231 3.231 5.857
angles: 73.99 73.99 90.00
Positions (direct):
H: 0.750 0.250 0.500
Cu: 0.316 0.316 0.368
H: 0.250 0.750 0.500
Cu: 0.684 0.684 0.632
Hg: 0.000 0.000 0.000



Entry 3:
Density functional theory data (PBE) for CuHgH after structural relaxation.

## Properties
DOS at the Fermi energy, states/eV/cell: 0.75
M_tot, μB per atom: 0.000
Crystal system: hexagonal
Energy relative to the lowest polymorph listed for this composition, meV/atom: 96.1

abc: 2.964 2.964 5.505
angles: 90.00 90.00 120.00
Positions (direct):
Cu: 0.667 0.333 0.500
Hg: 0.000 0.000 0.000
H: 0.333 0.667 0.500



Entry 4:
Density functional theory data (PBE) for CuHgH after structural relaxation.

## Properties
DOS at the Fermi energy, states/eV/cell: 0.80
M_tot, μB per atom: 0.000
Crystal system: triclinic
Energy relative to the lowest polymorph listed for this composition, meV/atom: 29.2

abc: 3.047 4.856 6.443
angles: 95.60 89.36 107.10
Positions (direct):
Hg: 0.595 0.649 0.287
Cu: 0.991 0.421 0.927
H: 0.135 0.716 0.809
Cu: 0.702 0.867 0.889
H: 0.844 0.150 0.061
Hg: 0.375 0.171 0.574



Entry 5:
Density functional theory data (PBE) for CuHg2H2 after structural relaxation.

## Properties
DOS at the Fermi energy, states/eV/cell: 1.77
M_tot, μB per atom: 0.000
Crystal system: tetragonal
Energy relative to the lowest polymorph listed for this composition, meV/atom: 68.2

abc: 7.009 7.009 3.714
angles: 90.00 90.00 90.00
Positions (direct):
H: 0.846 0.346 0.500
Hg: 0.162 0.662 0.000
Hg: 0.838 0.338 0.000
H: 0.654 0.846 0.500
Hg: 0.338 0.162 0.000
Hg: 0.662 0.838 0.000
Cu: 0.000 0.000 0.000
H: 0.154 0.654 0.500
Cu: 0.500 0.500 0.000
H: 0.346 0.154 0.500



Entry 6:
Density functional theory data (PBE) for Cu3HgH after structural relaxation.

## Properties
DOS at the Fermi energy, states/eV/cell: 1.22
M_tot, μB per atom: 0.000
Crystal system: cubic
Energy relative to the lowest polymorph listed for this composition, meV/atom: 0.0

abc: 3.904 3.904 3.904
angles: 90.00 90.00 90.00
Positions (direct):
Hg: 0.500 0.500 0.500
Cu: 0.000 0.500 0.000
Cu: 0.000 0.000 0.500
H: 0.000 0.000 0.000
Cu: 0.500 0.000 0.000



Entry 7:
Density functional theory data (PBE) for CuHg2H after structural relaxation.

## Properties
DOS at the Fermi energy, states/eV/cell: 1.30
M_tot, μB per atom: 0.092
Crystal system: cubic
Energy relative to the lowest polymorph listed for this composition, meV/atom: 152.8

abc: 4.532 4.532 4.532
angles: 60.00 60.00 60.00
Positions (direct):
H: 0.000 0.000 0.000
Hg: 0.250 0.250 0.250
Cu: 0.500 0.500 0.500
Hg: 0.750 0.750 0.750



Entry 8:
Density functional theory data (PBE) for CuHgH after structural relaxation.

## Properties
DOS at the Fermi energy, states/eV/cell: 2.68
M_tot, μB per atom: 0.000
Crystal system: orthorhombic
Energy relative to the lowest polymorph listed for this composition, meV/atom: 30.7

abc: 4.888 5.225 7.217
angles: 90.00 90.00 90.00
Positions (direct):
Hg: 0.000 0.250 0.619
H: 0.500 0.750 0.605
Hg: 0.000 0.750 0.381
Cu: 0.250 0.750 0.750
Cu: 0.250 0.250 0.250
Hg: 0.500 0.250 0.881
Cu: 0.750 0.250 0.250
H: 0.000 0.750 0.895
Cu: 0.750 0.750 0.750
H: 0.500 0.250 0.395
H: 0.000 0.250 0.105
Hg: 0.500 0.750 0.119



Entry 9:
Density functional theory data (PBE) for CuHgH after structural relaxation.

## Properties
DOS at the Fermi energy, states/eV/cell: 0.50
M_tot, μB per atom: 0.000
Crystal system: orthorhombic
Energy relative to the lowest polymorph listed for this composition, meV/atom: 16.3

abc: 2.920 8.322 3.582
angles: 90.00 90.00 90.00
Positions (direct):
Cu: 0.500 0.933 0.000
Cu: 0.000 0.067 0.500
Hg: 0.500 0.356 0.500
H: 0.000 0.061 0.000
Hg: 0.000 0.644 0.000
H: 0.500 0.939 0.500



Entry 10:
Density functional theory data (PBE) for Cu3HgH after structural relaxation.

## Properties
DOS at the Fermi energy, states/eV/cell: 1.55
M_tot, μB per atom: 0.177
Crystal system: cubic
Energy relative to the lowest polymorph listed for this composition, meV/atom: 1199.4

abc: 4.948 4.948 4.948
angles: 90.00 90.00 90.00
Positions (direct):
Cu: 0.500 0.000 0.000
Cu: 0.000 0.000 0.500
H: 0.500 0.500 0.500
Cu: 0.000 0.500 0.000
Hg: 0.000 0.000 0.000



Entry 11:
Density functional theory data (PBE) for CuHg2H after structural relaxation.

## Properties
DOS at the Fermi energy, states/eV/cell: 0.63
M_tot, μB per atom: 0.000
Crystal system: tetragonal
Energy relative to the lowest polymorph listed for this composition, meV/atom: 0.0

abc: 6.297 6.297 5.692
angles: 56.42 56.42 90.00
Positions (direct):
H: 0.250 0.750 0.500
Hg: 0.570 0.125 0.250
Hg: 0.180 0.625 0.250
H: 0.500 0.500 0.000
Hg: 0.875 0.820 0.750
Cu: 0.000 0.000 0.000
Hg: 0.375 0.430 0.750
Cu: 0.750 0.250 0.500



Entry 12:
Density functional theory data (PBE) for CuHg2H2 after structural relaxation.

## Properties
DOS at the Fermi energy, states/eV/cell: 2.25
M_tot, μB per atom: 0.000
Crystal system: tetragonal
Energy relative to the lowest polymorph listed for this composition, meV/atom: 0.0

abc: 5.833 5.833 4.089
angles: 90.00 90.00 90.00
Positions (direct):
Cu: 0.000 0.000 0.000
H: 0.755 0.745 0.000
Hg: 0.243 0.257 0.500
Hg: 0.257 0.757 0.500
Cu: 0.500 0.500 0.000
Hg: 0.743 0.243 0.500
H: 0.255 0.755 0.000
H: 0.245 0.255 0.000
Hg: 0.757 0.743 0.500
H: 0.745 0.245 0.000